No. 1
# BaMgAlPt2

BaMgAlPt2 after structural relaxation (PBE, the Open Quantum Materials Database).

```
BaMgAlPt2
1.0
1.910 -0.395 6.253
-4.126 -1.028 4.982
1.494 -2.349 -5.929
Pt Al Ba Mg
2 1 1 1
Direct
0.125 0.625 0.500
0.375 0.875 0.500
0.000 0.000 0.000
0.750 0.250 0.500
0.500 0.500 0.000
```

Space group ... I-4m2
E ... -4.698 eV per atom

No. 2
# BaAl2Mo

BaAl2Mo after structural relaxation (PBE, the Open Quantum Materials Database).

```
BaAl2Mo
1.0
0.000 3.496 3.496
3.496 0.000 3.496
3.496 3.496 0.000
Al Ba Mo
2 1 1
Direct
0.250 0.250 0.250
0.000 0.000 0.000
0.750 0.750 0.750
0.500 0.500 0.500
```

Space group ... F-43m
E ... -4.258 eV per atom

No. 3
# Ba2AlMo

Ba2AlMo after structural relaxation (PBE, the Open Quantum Materials Database).

```
Ba2AlMo
1.0
4.526 1.521 2.512
0.483 -0.672 5.331
3.382 -3.722 1.954
Al Ba Mo
1 2 1
Direct
0.500 0.500 0.500
0.750 0.750 0.750
0.000 0.000 0.000
0.250 0.250 0.250
```

Space group ... F-43m
E ... -3.798 eV per atom

No. 4
# Ba2NbAlS6

Ba2NbAlS6 after structural relaxation (PBE, the Open Quantum Materials Database).

```
Ba2NbAlS6
1.0
3.430 1.980 5.602
-3.430 1.980 5.602
0.000 -3.961 5.602
Ba S Al Nb
2 6 1 1
Direct
0.250 0.250 0.250
0.750 0.750 0.750
0.253 0.747 0.253
0.747 0.747 0.253
0.747 0.253 0.747
0.253 0.253 0.747
0.253 0.747 0.747
0.747 0.253 0.253
0.500 0.500 0.500
0.000 0.000 0.000
```

Space group ... Fm-3m
E ... -5.597 eV per atom

No. 5
# BaNdAl

BaNdAl after structural relaxation (PBE, the Open Quantum Materials Database).

```
BaNdAl
1.0
0.160 -3.451 4.303
-4.668 -1.405 2.586
-1.994 -5.122 -0.495
Al Nd Ba
1 1 1
Direct
0.000 0.000 0.000
0.750 0.750 0.750
0.250 0.250 0.250
```

Space group ... F-43m
Relative energy among the computed polymorphs ... 0.000 eV/atom

No. 6
# BaAlNi

BaAlNi after structural relaxation (PBE, the Open Quantum Materials Database).

```
BaAlNi
1.0
0.000 3.449 3.449
3.449 0.000 3.449
3.449 3.449 0.000
Ni Al Ba
1 1 1
Direct
0.000 0.000 0.000
0.250 0.250 0.250
0.750 0.750 0.750
```

Space group ... F-43m
E ... -3.529 eV per atom